No. 1
! LiY2W PBE relaxed; values from VASP
! - Distance to the lowest polymorph of the same formula: 0.765 eV/atom
! - Crystal system: tetragonal
! - Calculated density: 6.39 g/cm³
! - Symmetry: No. 122
&SYSTEM
  ibrav = 0, nat = 8, ntyp = 3
/
ATOMIC_SPECIES
Li 6.94 Li.upf
Y 88.91 Y.upf
W 183.84 W.upf
CELL_PARAMETERS angstrom
-2.2094 2.2094 9.8185
2.2094 -2.2094 9.8185
2.2094 2.2094 -9.8185
ATOMIC_POSITIONS crystal
Li 0.0000 0.0000 0.0000
Li 0.7500 0.2500 0.5000
Y 0.1338 0.6250 0.0088
Y 0.3750 0.3838 0.5088
Y 0.6162 0.1250 0.9912
Y 0.8750 0.8662 0.4912
W 0.2500 0.7500 0.5000
W 0.5000 0.5000 0.0000


No. 2
! LiYW2 PBE relaxed; values from VASP
! - Distance to the lowest polymorph of the same formula: 0.095 eV/atom
! - Crystal system: monoclinic
! - Calculated density: 10.14 g/cm³
! - Symmetry: No. 6
&SYSTEM
  ibrav = 0, nat = 4, ntyp = 3
/
ATOMIC_SPECIES
Li 6.94 Li.upf
Y 88.91 Y.upf
W 183.84 W.upf
CELL_PARAMETERS angstrom
2.8270 0.0000 0.0000
0.0000 4.4356 0.0000
-1.2840 0.0000 6.0551
ATOMIC_POSITIONS crystal
Li 0.0000 0.0000 0.0000
Y 0.3060 0.5000 0.7120
W 0.5670 0.0000 0.4217
W 0.7609 0.5000 0.2385


No. 3
! LiYW2 PBE relaxed; values from VASP
! - Distance to the lowest polymorph of the same formula: 0.358 eV/atom
! - Crystal system: orthorhombic
! - Calculated density: 10.56 g/cm³
! - Symmetry: No. 65
&SYSTEM
  ibrav = 0, nat = 4, ntyp = 3
/
ATOMIC_SPECIES
Li 6.94 Li.upf
Y 88.91 Y.upf
W 183.84 W.upf
CELL_PARAMETERS angstrom
1.6388 -2.2226 0.0000
1.6388 2.2226 0.0000
0.0000 0.0000 10.0034
ATOMIC_POSITIONS crystal
Li 0.0000 0.0000 0.0000
Y 0.0000 0.0000 0.5000
W 0.5000 0.5000 0.2370
W 0.5000 0.5000 0.7630


No. 4
! LiY2W PBE relaxed; values from VASP
! - Distance to the lowest polymorph of the same formula: 0.079 eV/atom
! - Crystal system: cubic
! - Calculated density: 6.80 g/cm³
! - Symmetry: No. 225
&SYSTEM
  ibrav = 0, nat = 4, ntyp = 3
/
ATOMIC_SPECIES
Li 6.94 Li.upf
Y 88.91 Y.upf
W 183.84 W.upf
CELL_PARAMETERS angstrom
0.0000 3.5578 3.5578
3.5578 0.0000 3.5578
3.5578 3.5578 0.0000
ATOMIC_POSITIONS crystal
Li 0.0000 0.0000 0.0000
Y 0.2500 0.2500 0.2500
Y 0.7500 0.7500 0.7500
W 0.5000 0.5000 0.5000


No. 5
! LiYW2 PBE relaxed; values from VASP
! - Distance to the lowest polymorph of the same formula: 0.093 eV/atom
! - Crystal system: orthorhombic
! - Calculated density: 9.93 g/cm³
! - Symmetry: No. 35
&SYSTEM
  ibrav = 0, nat = 4, ntyp = 3
/
ATOMIC_SPECIES
Li 6.94 Li.upf
Y 88.91 Y.upf
W 183.84 W.upf
CELL_PARAMETERS angstrom
1.6274 -2.4172 0.0000
1.6274 2.4172 0.0000
0.0000 0.0000 9.8567
ATOMIC_POSITIONS crystal
Li 0.0000 0.0000 0.0000
Y 0.5000 0.5000 0.2990
W 0.0000 0.0000 0.5606
W 0.5000 0.5000 0.7650


No. 6
! LiYW PBE relaxed; values from VASP
! - Distance to the lowest polymorph of the same formula: 0.000 eV/atom
! - Crystal system: orthorhombic
! - Calculated density: 7.60 g/cm³
! - Symmetry: No. 42
&SYSTEM
  ibrav = 0, nat = 3, ntyp = 3
/
ATOMIC_SPECIES
Li 6.94 Li.upf
Y 88.91 Y.upf
W 183.84 W.upf
CELL_PARAMETERS angstrom
0.0000 2.1233 7.3681
1.9530 0.0000 7.3681
1.9530 2.1233 0.0000
ATOMIC_POSITIONS crystal
Li 0.0000 0.0000 0.0000
Y 0.3060 0.3060 0.6940
W 0.6473 0.6473 0.3527


No. 7
! LiYW2 PBE relaxed; values from VASP
! - Distance to the lowest polymorph of the same formula: 0.196 eV/atom
! - Crystal system: orthorhombic
! - Calculated density: 10.17 g/cm³
! - Symmetry: No. 25
&SYSTEM
  ibrav = 0, nat = 4, ntyp = 3
/
ATOMIC_SPECIES
Li 6.94 Li.upf
Y 88.91 Y.upf
W 183.84 W.upf
CELL_PARAMETERS angstrom
2.7633 0.0000 0.0000
0.0000 4.1445 0.0000
0.0000 0.0000 6.6075
ATOMIC_POSITIONS crystal
Li 0.0000 0.0000 0.0000
Y 0.5000 0.5000 0.7159
W 0.0000 0.0000 0.4193
W 0.5000 0.5000 0.2244


No. 8
! LiY2W PBE relaxed; values from VASP
! - Distance to the lowest polymorph of the same formula: 0.115 eV/atom
! - Crystal system: monoclinic
! - Calculated density: 6.68 g/cm³
! - Symmetry: No. 6
&SYSTEM
  ibrav = 0, nat = 4, ntyp = 3
/
ATOMIC_SPECIES
Li 6.94 Li.upf
Y 88.91 Y.upf
W 183.84 W.upf
CELL_PARAMETERS angstrom
3.1363 0.0000 0.0000
0.0000 5.0144 0.0000
-1.5572 0.0000 5.8304
ATOMIC_POSITIONS crystal
Li 0.0000 0.0000 0.0000
Y 0.4091 0.5000 0.8158
Y 0.7187 0.0000 0.4383
W 0.1338 0.5000 0.2684


No. 9
! LiY2W PBE relaxed; values from VASP
! - Distance to the lowest polymorph of the same formula: 0.323 eV/atom
! - Crystal system: trigonal
! - Calculated density: 6.53 g/cm³
! - Symmetry: No. 160
&SYSTEM
  ibrav = 0, nat = 4, ntyp = 3
/
ATOMIC_SPECIES
Li 6.94 Li.upf
Y 88.91 Y.upf
W 183.84 W.upf
CELL_PARAMETERS angstrom
1.5913 0.9188 10.6852
-1.5913 0.9188 10.6852
0.0000 -1.8375 10.6852
ATOMIC_POSITIONS crystal
Li 0.0000 0.0000 0.0000
Y 0.2445 0.2445 0.2445
Y 0.4774 0.4774 0.4774
W 0.7368 0.7368 0.7368


No. 10
! LiY2W PBE relaxed; values from VASP
! - Distance to the lowest polymorph of the same formula: 0.378 eV/atom
! - Crystal system: cubic
! - Calculated density: 6.94 g/cm³
! - Symmetry: No. 216
&SYSTEM
  ibrav = 0, nat = 4, ntyp = 3
/
ATOMIC_SPECIES
Li 6.94 Li.upf
Y 88.91 Y.upf
W 183.84 W.upf
CELL_PARAMETERS angstrom
0.0000 3.5327 3.5327
3.5327 0.0000 3.5327
3.5327 3.5327 0.0000
ATOMIC_POSITIONS crystal
Li 0.0000 0.0000 0.0000
Y 0.5000 0.5000 0.5000
Y 0.7500 0.7500 0.7500
W 0.2500 0.2500 0.2500


No. 11
! LiYW2 PBE relaxed; values from VASP
! - Distance to the lowest polymorph of the same formula: 0.343 eV/atom
! - Crystal system: tetragonal
! - Calculated density: 10.59 g/cm³
! - Symmetry: No. 123
&SYSTEM
  ibrav = 0, nat = 4, ntyp = 3
/
ATOMIC_SPECIES
Li 6.94 Li.upf
Y 88.91 Y.upf
W 183.84 W.upf
CELL_PARAMETERS angstrom
2.7545 0.0000 0.0000
0.0000 2.7545 0.0000
0.0000 0.0000 9.5765
ATOMIC_POSITIONS crystal
Li 0.0000 0.0000 0.0000
Y 0.0000 0.0000 0.5000
W 0.5000 0.5000 0.2349
W 0.5000 0.5000 0.7651


No. 12
! LiYW2 PBE relaxed; values from VASP
! - Distance to the lowest polymorph of the same formula: 0.151 eV/atom
! - Crystal system: tetragonal
! - Calculated density: 10.49 g/cm³
! - Symmetry: No. 123
&SYSTEM
  ibrav = 0, nat = 4, ntyp = 3
/
ATOMIC_SPECIES
Li 6.94 Li.upf
Y 88.91 Y.upf
W 183.84 W.upf
CELL_PARAMETERS angstrom
3.8501 0.0000 0.0000
0.0000 3.8501 0.0000
0.0000 0.0000 4.9498
ATOMIC_POSITIONS crystal
Li 0.0000 0.0000 0.0000
Y 0.5000 0.5000 0.0000
W 0.0000 0.5000 0.5000
W 0.5000 0.0000 0.5000